# 1
This record from Alexandria via LeMat-Bulk describes a relaxed structure of Sm6Dy8Ho. The functional is GGA-PBE.

Results
For the energy above the most stable polymorph in this dataset, the calculation gives 0 meV per atom. The value obtained for the energy relative to the elements is 1.822 eV/f.u. The value obtained for the mass density is 7.96 g/cm3. Its total energy is -4.526 eV per atom.

a = 9.086 Å, b = 9.086 Å, c = 8.672 Å
α = 58.41°, β = 58.41°, γ = 60.00°
Sites, in units of the cell vectors:
Sm 0.461 0.895 0.873
Sm 0.105 0.229 0.127
Sm 0.229 0.539 0.127
Sm 0.771 0.461 0.873
Sm 0.895 0.771 0.873
Sm 0.539 0.105 0.127
Dy 0.720 0.111 0.422
Dy 0.889 0.254 0.578
Dy 0.254 0.280 0.578
Dy 0.577 0.577 0.270
Dy 0.423 0.423 0.730
Dy 0.746 0.720 0.422
Dy 0.111 0.746 0.422
Dy 0.280 0.889 0.578
Ho 0.000 0.000 0.000



# 2
This record from Alexandria via LeMat-Bulk describes a relaxed structure of Sm12Dy2Ho5. The functional is GGA-PBE.

Results
For the energy above the most stable polymorph in this dataset, the calculation gives 0 meV per atom. The value obtained for the energy relative to the elements is 1.964 eV/f.u. The value obtained for the mass density is 7.83 g/cm3. Its total energy is -4.566 eV per atom.

a = 11.653 Å, b = 10.641 Å, c = 6.192 Å
α = 100.63°, β = 90.00°, γ = 123.20°
Sites, in units of the cell vectors:
Sm 0.121 0.241 0.999
Sm 0.060 0.605 0.801
Sm 0.546 0.605 0.801
Sm 0.146 0.793 0.384
Sm 0.647 0.793 0.384
Sm 0.444 0.889 0.726
Sm 0.556 0.111 0.274
Sm 0.854 0.207 0.616
Sm 0.353 0.207 0.616
Sm 0.940 0.395 0.199
Sm 0.454 0.395 0.199
Sm 0.879 0.759 0.001
Dy 0.771 0.000 0.000
Dy 0.229 0.000 0.000
Ho 0.215 0.430 0.552
Ho 0.323 0.645 0.140
Ho 0.000 0.000 0.500
Ho 0.677 0.355 0.860
Ho 0.785 0.570 0.448